A geometry-optimized LaHo3N4 structure, computed with PBE.

a = 6.113 Å, b = 7.072 Å, c = 6.105 Å
α = 90.00°, β = 109.49°, γ = 90.00°
Fractional coordinates of all 16 atoms:
1 La 0.000 0.127 0.250
2 La 0.000 0.873 0.750
3 Ho 0.000 0.378 0.750
4 Ho 0.000 0.622 0.250
5 Ho 0.500 0.134 0.750
6 Ho 0.500 0.376 0.250
7 Ho 0.500 0.624 0.750
8 Ho 0.500 0.866 0.250
9 N 0.253 0.378 0.508
10 N 0.253 0.622 0.008
11 N 0.262 0.138 0.996
12 N 0.262 0.862 0.496
13 N 0.738 0.138 0.504
14 N 0.738 0.862 0.004
15 N 0.747 0.378 0.992
16 N 0.747 0.622 0.492

Output
space-group type	P2/c
N(E_F)	0.015	states/eV/atom



A geometry-optimized LaHo2NbN4 structure, computed with PBE.

a = 6.263 Å, b = 6.263 Å, c = 12.130 Å
α = 90.00°, β = 90.00°, γ = 148.18°
Fractional coordinates of all 16 atoms:
1 La 0.093 0.907 0.750
2 La 0.907 0.093 0.250
3 Ho 0.371 0.629 0.536
4 Ho 0.371 0.629 0.964
5 Ho 0.629 0.371 0.036
6 Ho 0.629 0.371 0.464
7 Nb 0.167 0.833 0.250
8 Nb 0.833 0.167 0.750
9 N 0.000 0.000 0.000
10 N 0.000 0.000 0.500
11 N 0.260 0.740 0.118
12 N 0.260 0.740 0.382
13 N 0.439 0.561 0.750
14 N 0.561 0.439 0.250
15 N 0.740 0.260 0.618
16 N 0.740 0.260 0.882

Output
space-group type	Cmcm
N(E_F)	0.314	states/eV/atom



A geometry-optimized LaHoNbN3 structure, computed with PBE.

a = 7.415 Å, b = 3.468 Å, c = 8.187 Å
α = 90.00°, β = 93.94°, γ = 90.00°
Fractional coordinates of all 12 atoms:
1 La 0.161 0.250 0.176
2 La 0.839 0.750 0.824
3 Ho 0.379 0.750 0.857
4 Ho 0.621 0.250 0.143
5 Nb 0.123 0.250 0.581
6 Nb 0.877 0.750 0.419
7 N 0.145 0.250 0.831
8 N 0.170 0.750 0.453
9 N 0.394 0.750 0.126
10 N 0.606 0.250 0.874
11 N 0.830 0.250 0.547
12 N 0.855 0.750 0.169

Output
space-group type	P2_1/m
N(E_F)	0.428	states/eV/atom



A geometry-optimized LaNdHoN3 structure, computed with PBE.

a = 6.190 Å, b = 3.614 Å, c = 9.284 Å
α = 90.00°, β = 101.77°, γ = 90.00°
Fractional coordinates of all 12 atoms:
1 La 0.148 0.250 0.195
2 La 0.852 0.750 0.805
3 Nd 0.270 0.750 0.547
4 Nd 0.730 0.250 0.453
5 Ho 0.356 0.250 0.862
6 Ho 0.644 0.750 0.138
7 N 0.040 0.250 0.678
8 N 0.261 0.750 0.984
9 N 0.467 0.750 0.342
10 N 0.533 0.250 0.658
11 N 0.739 0.250 0.016
12 N 0.960 0.750 0.322

Output
space-group type	P2_1/m



Number 1: E_tot -8.089 eV/atom, M_tot 0.00 μB/f.u.. Number 2: E_tot -8.487 eV/atom, M_tot 0.00 μB/f.u.. Number 3: E_tot -8.538 eV/atom, M_tot 0.00 μB/f.u.. Number 4: E_tot -7.901 eV/atom, M_tot 0.00 μB/f.u..